[1]
# LaPrSi

A relaxed structure of LaPrSi (PBE, Alexandria via LeMat-Bulk).

Cell: 4.2128 6.5289 13.1454 Å, 90.00 90.00 90.00°
Atoms (fractional coordinates):
La 0.0000 0.2263 0.0000
La 0.0000 0.7737 0.0000
La 0.5000 0.2737 0.5000
La 0.5000 0.7263 0.5000
Pr 0.0000 0.0000 0.2982
Pr 0.0000 0.0000 0.7018
Pr 0.5000 0.5000 0.2018
Pr 0.5000 0.5000 0.7982
Si 0.0000 0.5000 0.3601
Si 0.0000 0.5000 0.6399
Si 0.5000 0.0000 0.1399
Si 0.5000 0.0000 0.8601

formation energy without anion corrections: -126 kJ/mol of formula units

***

[2]
# LaPr3Si4

A relaxed structure of LaPr3Si4 (PBE, Alexandria via LeMat-Bulk).

Cell: 4.1664 6.5296 16.2868 Å, 90.00 90.00 90.00°
Atoms (fractional coordinates):
La 0.0000 0.0000 0.0000
La 0.5000 0.5000 0.5000
Pr 0.0000 0.0000 0.5000
Pr 0.0000 0.5000 0.3064
Pr 0.0000 0.5000 0.6936
Pr 0.5000 0.0000 0.1936
Pr 0.5000 0.0000 0.8064
Pr 0.5000 0.5000 0.0000
Si 0.0000 0.3211 0.1321
Si 0.0000 0.3211 0.8679
Si 0.0000 0.6789 0.1321
Si 0.0000 0.6789 0.8679
Si 0.5000 0.1789 0.3679
Si 0.5000 0.1789 0.6321
Si 0.5000 0.8211 0.3679
Si 0.5000 0.8211 0.6321

formation energy without anion corrections: -387 kJ/mol of formula units

***

[3]
# LaPrSi

A relaxed structure of LaPrSi (PBE, Alexandria via LeMat-Bulk).

Cell: 4.7558 4.7558 4.3807 Å, 90.00 90.00 120.00°
Atoms (fractional coordinates):
La 0.0000 0.0000 0.0000
Pr 0.6667 0.3333 0.5668
Si 0.3333 0.6667 0.3159

formation energy without anion corrections: -92 kJ/mol of formula units

***

[4]
# LaPr2Zn2Si2

A relaxed structure of LaPr2Zn2Si2 (PBE, Alexandria via LeMat-Bulk).

Cell: 12.0875 12.0875 12.0875 Å, 19.84 19.84 19.84°
Atoms (fractional coordinates):
La 0.0000 0.0000 0.0000
Pr 0.1217 0.1217 0.1217
Pr 0.8783 0.8783 0.8783
Zn 0.3962 0.3962 0.3962
Zn 0.6038 0.6038 0.6038
Si 0.2713 0.2713 0.2713
Si 0.7287 0.7287 0.7287

formation energy without anion corrections: -322 kJ/mol of formula units

***

[5]
# LaPrZnSi

A relaxed structure of LaPrZnSi (PBE, Alexandria via LeMat-Bulk).

Cell: 7.3983 7.3983 7.3983 Å, 90.00 90.00 90.00°
Atoms (fractional coordinates):
La 0.0000 0.0000 0.0000
La 0.0000 0.5000 0.5000
La 0.5000 0.0000 0.5000
La 0.5000 0.5000 0.0000
Pr 0.0000 0.0000 0.5000
Pr 0.0000 0.5000 0.0000
Pr 0.5000 0.0000 0.0000
Pr 0.5000 0.5000 0.5000
Zn 0.2500 0.2500 0.7500
Zn 0.2500 0.7500 0.2500
Zn 0.7500 0.2500 0.2500
Zn 0.7500 0.7500 0.7500
Si 0.2500 0.2500 0.2500
Si 0.2500 0.7500 0.7500
Si 0.7500 0.2500 0.7500
Si 0.7500 0.7500 0.2500

formation energy without anion corrections: -168 kJ/mol of formula units

***

[6]
# LaPrZnSi

A relaxed structure of LaPrZnSi (PBE, Alexandria via LeMat-Bulk).

Cell: 4.1770 4.3943 11.4059 Å, 90.00 90.00 90.00°
Atoms (fractional coordinates):
La 0.0000 0.0000 0.0000
La 0.0000 0.5000 0.5000
Pr 0.5000 0.0000 0.7124
Pr 0.5000 0.5000 0.2124
Zn 0.5000 0.0000 0.4162
Zn 0.5000 0.5000 0.9162
Si 0.0000 0.0000 0.2849
Si 0.0000 0.5000 0.7849

formation energy without anion corrections: -197 kJ/mol of formula units

***

[7]
# LaPr5Sm5

A relaxed structure of LaPr5Sm5 (PBE, Alexandria via LeMat-Bulk).

Cell: 7.0969 7.1199 8.6562 Å, 75.55 76.80 71.75°
Atoms (fractional coordinates):
La 0.0000 0.0000 0.0000
Pr 0.0000 0.5000 0.0000
Pr 0.1492 0.1413 0.3556
Pr 0.3619 0.7540 0.7247
Pr 0.6381 0.2460 0.2753
Pr 0.8508 0.8587 0.6444
Sm 0.2179 0.6458 0.2982
Sm 0.3124 0.2898 0.6489
Sm 0.5000 0.0000 0.0000
Sm 0.6876 0.7102 0.3511
Sm 0.7821 0.3542 0.7018

formation energy from the elements: 0.138 eV per atom

***

[8]
# LaPr4Sm5

A relaxed structure of LaPr4Sm5 (PBE, Alexandria via LeMat-Bulk).

Cell: 14.6512 14.6512 6.9639 Å, 97.19 97.19 13.82°
Atoms (fractional coordinates):
La 0.0000 0.0000 0.0000
Pr 0.1084 0.1084 0.8040
Pr 0.4045 0.4045 0.6961
Pr 0.5955 0.5955 0.3039
Pr 0.8916 0.8916 0.1960
Sm 0.0000 0.0000 0.5000
Sm 0.2933 0.2933 0.8981
Sm 0.2968 0.2968 0.3980
Sm 0.7032 0.7032 0.6020
Sm 0.7067 0.7067 0.1019

formation energy from the elements: 0.127 eV per atom

***

[9]
# La2PrSm3

A relaxed structure of La2PrSm3 (PBE, Alexandria via LeMat-Bulk).

Cell: 3.5480 6.1734 19.5937 Å, 90.00 90.00 90.00°
Atoms (fractional coordinates):
La 0.0000 0.0000 0.1434
La 0.0000 0.0000 0.8566
La 0.5000 0.5000 0.3566
La 0.5000 0.5000 0.6434
Pr 0.0000 0.0000 0.5000
Pr 0.5000 0.5000 0.0000
Sm 0.0000 0.0000 0.3125
Sm 0.0000 0.0000 0.6875
Sm 0.0000 0.5000 0.5000
Sm 0.5000 0.0000 0.0000
Sm 0.5000 0.5000 0.1875
Sm 0.5000 0.5000 0.8125

formation energy from the elements: 0.315 eV per atom

***

[10]
# La7PrSm4

A relaxed structure of La7PrSm4 (PBE, Alexandria via LeMat-Bulk).

Cell: 8.8527 8.8527 9.5796 Å, 114.81 114.81 40.74°
Atoms (fractional coordinates):
La 0.0000 0.0000 0.0000
La 0.2903 0.2903 0.1232
La 0.2917 0.2917 0.7783
La 0.4170 0.4170 0.5606
La 0.5830 0.5830 0.4394
La 0.7083 0.7083 0.2217
La 0.7097 0.7097 0.8768
Pr 0.5000 0.5000 0.0000
Sm 0.0728 0.0728 0.6977
Sm 0.1716 0.1716 0.3934
Sm 0.8284 0.8284 0.6066
Sm 0.9272 0.9272 0.3023

formation energy from the elements: 0.185 eV per atom

***

[11]
# La4Pr5Sm

A relaxed structure of La4Pr5Sm (PBE, Alexandria via LeMat-Bulk).

Cell: 9.0910 9.0910 11.5037 Å, 90.31 90.31 23.23°
Atoms (fractional coordinates):
La 0.0291 0.0291 0.2486
La 0.3446 0.3446 0.2508
La 0.6554 0.6554 0.7492
La 0.9709 0.9709 0.7514
Pr 0.1729 0.1729 0.0543
Pr 0.1735 0.1735 0.4427
Pr 0.5000 0.5000 0.5000
Pr 0.8265 0.8265 0.5573
Pr 0.8271 0.8271 0.9457
Sm 0.5000 0.5000 0.0000

formation energy from the elements: 0.159 eV per atom

***

[12]
# La4PrSm3

A relaxed structure of La4PrSm3 (PBE, Alexandria via LeMat-Bulk).

Cell: 11.9890 13.7618 3.4853 Å, 90.00 90.00 90.00°
Atoms (fractional coordinates):
La 0.0000 0.2474 0.0000
La 0.0000 0.7526 0.0000
La 0.2489 0.0000 0.5000
La 0.2511 0.5000 0.5000
La 0.5000 0.2526 0.0000
La 0.5000 0.7474 0.0000
La 0.7489 0.5000 0.5000
La 0.7511 0.0000 0.5000
Pr 0.0000 0.5000 0.0000
Pr 0.5000 0.0000 0.0000
Sm 0.0000 0.0000 0.0000
Sm 0.2500 0.2500 0.5000
Sm 0.2500 0.7500 0.5000
Sm 0.5000 0.5000 0.0000
Sm 0.7500 0.2500 0.5000
Sm 0.7500 0.7500 0.5000

formation energy from the elements: 0.336 eV per atom

***

Repeat the tenth record exactly.
# La7PrSm4

A relaxed structure of La7PrSm4 (PBE, Alexandria via LeMat-Bulk).

Cell: 8.8527 8.8527 9.5796 Å, 114.81 114.81 40.74°
Atoms (fractional coordinates):
La 0.0000 0.0000 0.0000
La 0.2903 0.2903 0.1232
La 0.2917 0.2917 0.7783
La 0.4170 0.4170 0.5606
La 0.5830 0.5830 0.4394
La 0.7083 0.7083 0.2217
La 0.7097 0.7097 0.8768
Pr 0.5000 0.5000 0.0000
Sm 0.0728 0.0728 0.6977
Sm 0.1716 0.1716 0.3934
Sm 0.8284 0.8284 0.6066
Sm 0.9272 0.9272 0.3023

formation energy from the elements: 0.185 eV per atom